# Ho2TmThS4, relaxed, DFT GGA-PBE
data_Ho2TmThS4
_chemical_formula_sum 'Ho2 Tm1 Th1 S4'
_symmetry_space_group_name_H-M 'P 1 2/m 1'
_symmetry_Int_Tables_number 10
_cell_length_a 6.775
_cell_length_b 3.885
_cell_length_c 6.840
_cell_angle_alpha 90.00
_cell_angle_beta 109.10
_cell_angle_gamma 90.00
loop_
_symmetry_equiv_pos_as_xyz
'x,y,z'
'-x,-y,-z'
'-x,y,-z'
'x,-y,z'
loop_
_atom_site_label
_atom_site_type_symbol
_atom_site_fract_x
_atom_site_fract_y
_atom_site_fract_z
Ho1 Ho 0.000 0.000 0.000
Ho2 Ho 0.000 0.500 0.500
Tm1 Tm 0.500 0.000 0.500
Th1 Th 0.500 0.500 0.000
S1 S 0.240 0.000 0.737
S2 S 0.248 0.500 0.258
# Magnetic moment   0.0 μB/cell
# Energy   -6.6024 eV/atom
# ΔE_f (raw)   -1.908 eV per atom